# 1
Compound: TaCd3N
Source: the Alexandria database
Functional: GGA-PBE
Structure: relaxed

**Crystal system**: cubic
**DFT total energy**: -3.462 eV/atom
**Formation energy without anion corrections**: 1122.3 meV/atom

abc: 4.5728 4.5728 4.5728
angles: 90.00 90.00 90.00
Last column: magnetic moment on the atom in μB.
Fractional coordinates of all 5 atoms:
N: 0.0000 0.0000 0.0000  0.14
Cd: 0.0000 0.5000 0.0000  0.02
Cd: 0.0000 0.0000 0.5000  0.01
Cd: 0.5000 0.0000 0.0000  -0.01
Ta: 0.5000 0.5000 0.5000  0.70



# 2
Compound: Sm3AgS4
Source: the Alexandria database
Functional: GGA-PBE
Structure: relaxed

**Crystal system**: orthorhombic
**DFT total energy**: -5.819 eV/atom
**Formation energy without anion corrections**: -1629.6 meV/atom

abc: 4.0112 6.9456 6.9456
angles: 110.09 90.00 90.00
Fractional coordinates of all 8 atoms:
Sm: 0.0000 0.0000 0.5000
Sm: 0.5000 0.5000 0.5000
Sm: 0.0000 0.5000 0.0000
Ag: 0.5000 0.0000 0.0000
S: 0.0000 0.2478 0.2478
S: 0.5000 0.7494 0.2506
S: 0.0000 0.7522 0.7522
S: 0.5000 0.2506 0.7494



# 3
Compound: LiVPd
Source: the Alexandria database
Functional: GGA-PBE
Structure: relaxed

**Crystal system**: orthorhombic
**DFT total energy**: -5.354 eV/atom
**DFT formation energy**: 54 meV/atom

abc: 4.5663 4.2374 6.0264
angles: 78.22 67.74 57.40
Fractional coordinates of all 6 atoms:
V: 0.7500 0.5000 0.5000
V: 0.2500 0.5000 0.5000
Li: 0.8359 0.3283 0.0000
Li: 0.1641 0.6717 0.0000
Pd: 0.6169 0.0000 0.7662
Pd: 0.3831 0.0000 0.2338



# 4
Compound: MoRh2
Source: the Alexandria database
Functional: GGA-PBE
Structure: relaxed

**Crystal system**: cubic
**DFT total energy**: -7.842 eV/atom
**DFT formation energy**: 669 meV/atom

abc: 5.9713 5.9713 5.9713
angles: 90.00 90.00 90.00
Fractional coordinates of all 12 atoms:
Mo: 0.0000 0.0000 0.0000
Mo: 0.0000 0.5000 0.5000
Mo: 0.5000 0.0000 0.5000
Mo: 0.5000 0.5000 0.0000
Rh: 0.1247 0.6247 0.8753
Rh: 0.1247 0.8753 0.3753
Rh: 0.3753 0.1247 0.8753
Rh: 0.3753 0.3753 0.3753
Rh: 0.6247 0.6247 0.6247
Rh: 0.6247 0.8753 0.1247
Rh: 0.8753 0.1247 0.6247
Rh: 0.8753 0.3753 0.1247



# 5
Compound: Na2Ir2RhS6
Source: the Alexandria database
Functional: GGA-PBE
Structure: relaxed

**Crystal system**: monoclinic
**DFT total energy**: -5.371 eV/atom
**Formation energy without anion corrections**: -600.0 meV/atom

abc: 6.2733 6.2733 6.6935
angles: 98.93 98.93 120.10
Fractional coordinates of all 11 atoms:
Na: 0.8348 0.1652 0.0000
Na: 0.1652 0.8348 0.0000
Ir: 0.3332 0.6668 0.5000
Ir: 0.6668 0.3332 0.5000
Rh: 0.0000 0.0000 0.5000
S: 0.7270 0.7270 0.6863
S: 0.0606 0.3958 0.6846
S: 0.2730 0.2730 0.3137
S: 0.3958 0.0606 0.6846
S: 0.9394 0.6042 0.3154
S: 0.6042 0.9394 0.3154



# 6
Compound: NdErP
Source: the Alexandria database
Functional: GGA-PBE
Structure: relaxed

**Crystal system**: orthorhombic
**DFT total energy**: -5.401 eV/atom
**DFT formation energy**: -488 meV/atom

abc: 5.7890 6.4220 6.4220
angles: 127.15 90.00 90.00
Last column: magnetic moment on the atom in μB.
Fractional coordinates of all 6 atoms:
Nd: 0.2500 0.7063 0.2937  0.04
Nd: 0.7500 0.2937 0.7063  0.04
Er: 0.5000 0.0000 0.0000  0.22
Er: 0.0000 0.0000 0.0000  0.22
P: 0.2500 0.2028 0.7972  0.00
P: 0.7500 0.7972 0.2028  0.00



# 7
Compound: VSnTe4
Source: the Alexandria database
Functional: GGA-PBE
Structure: relaxed

**Crystal system**: monoclinic
**DFT total energy**: -4.464 eV/atom
**Formation energy without anion corrections**: -183.0 meV/atom

abc: 3.7933 7.3786 13.2364
angles: 99.89 90.00 90.00
Last column: magnetic moment on the atom in μB.
Fractional coordinates of all 12 atoms:
V: 0.0000 0.5000 0.5000  1.11
V: 0.5000 0.5000 0.0000  1.11
Sn: 0.5000 0.0000 0.5000  0.01
Sn: 0.0000 0.0000 0.0000  0.01
Te: 0.5000 0.6178 0.3771  -0.08
Te: 0.0000 0.3822 0.1229  -0.08
Te: 0.5000 0.3822 0.6229  -0.08
Te: 0.0000 0.6178 0.8771  -0.08
Te: 0.0001 0.1778 0.3695  -0.05
Te: 0.5001 0.8222 0.1305  -0.05
Te: 0.9999 0.8222 0.6305  -0.05
Te: 0.4999 0.1778 0.8695  -0.05



# 8
Compound: Ho2Tm2Tl7
Source: the Alexandria database
Functional: GGA-PBE
Structure: relaxed

**Crystal system**: orthorhombic
**DFT total energy**: -3.104 eV/atom
**DFT formation energy**: 47 meV/atom

abc: 6.8212 8.3399 6.8212
angles: 90.00 118.47 90.00
Fractional coordinates of all 11 atoms:
Ho: 0.7498 0.5000 0.7498
Ho: 0.2502 0.5000 0.2502
Tm: 0.7338 0.0000 0.2662
Tm: 0.2662 0.0000 0.7338
Tl: 0.9998 0.3147 0.5003
Tl: 0.5003 0.6853 0.9998
Tl: 0.0002 0.6853 0.4997
Tl: 0.4997 0.3147 0.0002
Tl: 0.0000 0.0000 0.0000
Tl: 0.5002 0.8113 0.4998
Tl: 0.4998 0.1887 0.5002



Copy entry 4 word for word.
Compound: MoRh2
Source: the Alexandria database
Functional: GGA-PBE
Structure: relaxed

**Crystal system**: cubic
**DFT total energy**: -7.842 eV/atom
**DFT formation energy**: 669 meV/atom

abc: 5.9713 5.9713 5.9713
angles: 90.00 90.00 90.00
Fractional coordinates of all 12 atoms:
Mo: 0.0000 0.0000 0.0000
Mo: 0.0000 0.5000 0.5000
Mo: 0.5000 0.0000 0.5000
Mo: 0.5000 0.5000 0.0000
Rh: 0.1247 0.6247 0.8753
Rh: 0.1247 0.8753 0.3753
Rh: 0.3753 0.1247 0.8753
Rh: 0.3753 0.3753 0.3753
Rh: 0.6247 0.6247 0.6247
Rh: 0.6247 0.8753 0.1247
Rh: 0.8753 0.1247 0.6247
Rh: 0.8753 0.3753 0.1247



DFT total energy of number 2 (Sm3AgS4)?
-5.819 eV/atom